No. 1
Here is a relaxed LaGa3F crystal from Alexandria via LeMat-Bulk. Energies are from GGA-PBE.

The space group is Pm-3m (No. 221) and the conventional cell measures 4.734, 4.734 and 4.734 Å, with angles of 90.00, 90.00 and 90.00 degrees. The inequivalent atoms are La at (0.000, 0.000, 0.000), Ga at (0.000, 0.500, 0.500) and F at (0.500, 0.500, 0.500).

The calculation puts the density of states at the Fermi level at 3.6 states/eV per cell. Its formation energy (no corrections) is -73 kJ per mole of atoms. Its energy above the most stable polymorph in this dataset is 0 meV/atom.

No. 2
Here is a relaxed LiYRu2 crystal from Alexandria via LeMat-Bulk. Energies are from GGA-PBE.

The space group is C2/m (No. 12) and the conventional cell measures 5.494, 9.069 and 2.933 Å, with angles of 90.00, 115.57 and 90.00 degrees. The inequivalent atoms are Li at (0.000, 0.000, 0.000), Y at (0.000, 0.500, 0.000) and Ru at (0.250, 0.250, 0.500).

The calculation puts the density of states at the Fermi level at 6.9 states/eV per cell. Its formation energy is 18.6 kJ per mole of atoms. Its energy above the most stable polymorph in this dataset is 109 meV/atom.